## P
This record from Alexandria describes crystalline ZrWSe2 at its relaxed geometry. The functional is PBE. Values from VASP.

Structure (Quantum ESPRESSO input):
```
&SYSTEM
  ibrav = 0, nat = 4, ntyp = 3
/
ATOMIC_SPECIES
Zr 91.22 Zr.upf
W 183.84 W.upf
Se 78.96 Se.upf
CELL_PARAMETERS angstrom
4.6020 0.0000 0.0000
0.0000 4.6020 0.0000
0.0000 0.0000 3.2726
ATOMIC_POSITIONS crystal
Zr 0.0000 0.0000 0.0000
W 0.5000 0.5000 0.0000
Se 0.0000 0.5000 0.5000
Se 0.5000 0.0000 0.5000
```

Size of the total moment in Bohr magnetons per cell: 0.54

## Q
This record from Alexandria describes crystalline ZrWSe2 at its relaxed geometry. The functional is PBE. Values from VASP.

Structure (Quantum ESPRESSO input):
```
&SYSTEM
  ibrav = 0, nat = 4, ntyp = 3
/
ATOMIC_SPECIES
Zr 91.22 Zr.upf
W 183.84 W.upf
Se 78.96 Se.upf
CELL_PARAMETERS angstrom
3.1980 0.0000 0.0000
0.0000 4.1685 0.0000
0.0000 0.0000 5.9386
ATOMIC_POSITIONS crystal
Zr 0.0000 0.0000 0.0000
W 0.5000 0.0000 0.5000
Se 0.0000 0.5000 0.5000
Se 0.5000 0.5000 0.0000
```

Size of the total moment in Bohr magnetons per cell: 0.00

## R
This record from Alexandria describes crystalline ZrWSe2 at its relaxed geometry. The functional is PBE. Values from VASP.

Structure (Quantum ESPRESSO input):
```
&SYSTEM
  ibrav = 0, nat = 12, ntyp = 3
/
ATOMIC_SPECIES
Zr 91.22 Zr.upf
W 183.84 W.upf
Se 78.96 Se.upf
CELL_PARAMETERS angstrom
3.2071 0.0000 0.0000
-1.6035 2.7774 0.0000
0.0000 0.0000 27.1384
ATOMIC_POSITIONS crystal
Zr 0.0000 0.0000 0.0000
Zr 0.3333 0.6667 0.6667
Zr 0.6667 0.3333 0.3333
W 0.0000 0.0000 0.5000
W 0.3333 0.6667 0.1667
W 0.6667 0.3333 0.8333
Se 0.0000 0.0000 0.1008
Se 0.0000 0.0000 0.8992
Se 0.3333 0.6667 0.5658
Se 0.3333 0.6667 0.7675
Se 0.6667 0.3333 0.2325
Se 0.6667 0.3333 0.4342
```

Size of the total moment in Bohr magnetons per cell: 0.00

## S
This record from Alexandria describes crystalline ZrWSe2 at its relaxed geometry. The functional is PBE. Values from VASP.

Structure (Quantum ESPRESSO input):
```
&SYSTEM
  ibrav = 0, nat = 8, ntyp = 3
/
ATOMIC_SPECIES
Zr 91.22 Zr.upf
W 183.84 W.upf
Se 78.96 Se.upf
CELL_PARAMETERS angstrom
3.2457 0.0000 0.0000
0.0000 5.8299 0.0000
0.0000 0.0000 8.2733
ATOMIC_POSITIONS crystal
Zr 0.0000 0.0000 0.0000
Zr 0.5000 0.5000 0.0000
W 0.0000 0.0000 0.5000
W 0.5000 0.5000 0.5000
Se 0.0000 0.5000 0.2617
Se 0.0000 0.5000 0.7383
Se 0.5000 0.0000 0.2617
Se 0.5000 0.0000 0.7383
```

Size of the total moment in Bohr magnetons per cell: 0.00

Which structure wins on stability? P wins.

## P
This record from Alexandria describes crystalline ZrWSe2 at its relaxed geometry. The functional is PBE. Values from VASP.

Structure (Quantum ESPRESSO input):
```
&SYSTEM
  ibrav = 0, nat = 16, ntyp = 3
/
ATOMIC_SPECIES
Zr 91.22 Zr.upf
W 183.84 W.upf
Se 78.96 Se.upf
CELL_PARAMETERS angstrom
6.5368 0.0000 0.0000
0.0000 6.5368 0.0000
0.0000 0.0000 6.5368
ATOMIC_POSITIONS crystal
Zr 0.0000 0.0000 0.0000
Zr 0.0000 0.5000 0.5000
Zr 0.5000 0.0000 0.5000
Zr 0.5000 0.5000 0.0000
W 0.0000 0.0000 0.5000
W 0.0000 0.5000 0.0000
W 0.5000 0.0000 0.0000
W 0.5000 0.5000 0.5000
Se 0.2500 0.2500 0.2500
Se 0.2500 0.2500 0.7500
Se 0.2500 0.7500 0.2500
Se 0.2500 0.7500 0.7500
Se 0.7500 0.2500 0.2500
Se 0.7500 0.2500 0.7500
Se 0.7500 0.7500 0.2500
Se 0.7500 0.7500 0.7500
```

Size of the total moment in Bohr magnetons per cell: 6.21

## Q
This record from Alexandria describes crystalline ZrWSe2 at its relaxed geometry. The functional is PBE. Values from VASP.

Structure (Quantum ESPRESSO input):
```
&SYSTEM
  ibrav = 0, nat = 16, ntyp = 3
/
ATOMIC_SPECIES
Zr 91.22 Zr.upf
W 183.84 W.upf
Se 78.96 Se.upf
CELL_PARAMETERS angstrom
4.7347 0.0000 0.0000
0.0000 4.7347 0.0000
0.0000 0.0000 15.7000
ATOMIC_POSITIONS crystal
Zr 0.0000 0.0000 0.0000
Zr 0.0000 0.5000 0.2500
Zr 0.5000 0.0000 0.7500
Zr 0.5000 0.5000 0.5000
W 0.0000 0.0000 0.5000
W 0.0000 0.5000 0.7500
W 0.5000 0.0000 0.2500
W 0.5000 0.5000 0.0000
Se 0.2199 0.2500 0.6250
Se 0.2500 0.7199 0.8750
Se 0.2500 0.7801 0.3750
Se 0.2801 0.2500 0.1250
Se 0.7199 0.7500 0.1250
Se 0.7500 0.2199 0.3750
Se 0.7500 0.2801 0.8750
Se 0.7801 0.7500 0.6250
```

Size of the total moment in Bohr magnetons per cell: 0.00

Which structure wins on stability? P wins.

## P
This record from Alexandria describes crystalline ZrWSe2 at its relaxed geometry. The functional is PBE. Values from VASP.

Structure (Quantum ESPRESSO input):
```
&SYSTEM
  ibrav = 0, nat = 8, ntyp = 3
/
ATOMIC_SPECIES
Zr 91.22 Zr.upf
W 183.84 W.upf
Se 78.96 Se.upf
CELL_PARAMETERS angstrom
3.1982 0.0000 0.0000
0.0000 4.5496 0.0000
0.0000 0.0000 10.2902
ATOMIC_POSITIONS crystal
Zr 0.0000 0.0000 0.0000
Zr 0.5000 0.5000 0.5000
W 0.0000 0.5000 0.2168
W 0.5000 0.0000 0.7168
Se 0.0000 0.0000 0.5203
Se 0.0000 0.5000 0.7293
Se 0.5000 0.0000 0.2293
Se 0.5000 0.5000 0.0203
```

Size of the total moment in Bohr magnetons per cell: 0.00

## Q
This record from Alexandria describes crystalline ZrWSe2 at its relaxed geometry. The functional is PBE. Values from VASP.

Structure (Quantum ESPRESSO input):
```
&SYSTEM
  ibrav = 0, nat = 8, ntyp = 3
/
ATOMIC_SPECIES
Zr 91.22 Zr.upf
W 183.84 W.upf
Se 78.96 Se.upf
CELL_PARAMETERS angstrom
7.9369 0.0000 0.0000
0.0000 3.2886 0.0000
-1.2658 0.0000 5.6563
ATOMIC_POSITIONS crystal
Zr 0.0000 0.0000 0.0000
Zr 0.5000 0.5000 0.0000
W 0.0000 0.5000 0.5000
W 0.5000 0.0000 0.5000
Se 0.2433 0.0000 0.7219
Se 0.2567 0.5000 0.2781
Se 0.7433 0.5000 0.7219
Se 0.7567 0.0000 0.2781
```

Size of the total moment in Bohr magnetons per cell: 0.00

Which structure wins on stability? P wins.

## P
This record from Alexandria describes crystalline ZrWSe at its relaxed geometry. The functional is PBE. Values from VASP.

Structure (Quantum ESPRESSO input):
```
&SYSTEM
  ibrav = 0, nat = 3, ntyp = 3
/
ATOMIC_SPECIES
Zr 91.22 Zr.upf
W 183.84 W.upf
Se 78.96 Se.upf
CELL_PARAMETERS angstrom
4.4965 0.0000 0.0000
-2.2482 3.8941 0.0000
0.0000 0.0000 3.1662
ATOMIC_POSITIONS crystal
Zr 0.0000 0.0000 0.0000
W 0.6667 0.3333 0.4539
Se 0.3333 0.6667 0.4588
```

Size of the total moment in Bohr magnetons per cell: 0.00

## Q
This record from Alexandria describes crystalline ZrWSe at its relaxed geometry. The functional is PBE. Values from VASP.

Structure (Quantum ESPRESSO input):
```
&SYSTEM
  ibrav = 0, nat = 6, ntyp = 3
/
ATOMIC_SPECIES
Zr 91.22 Zr.upf
W 183.84 W.upf
Se 78.96 Se.upf
CELL_PARAMETERS angstrom
3.0961 0.0000 0.0000
0.0000 3.0961 0.0000
0.0000 0.0000 11.4771
ATOMIC_POSITIONS crystal
Zr 0.0000 0.0000 0.0000
Zr 0.5000 0.5000 0.5000
W 0.0000 0.0000 0.3077
W 0.5000 0.5000 0.8077
Se 0.0000 0.0000 0.6845
Se 0.5000 0.5000 0.1845
```

Size of the total moment in Bohr magnetons per cell: 0.00

## R
This record from Alexandria describes crystalline ZrWSe at its relaxed geometry. The functional is PBE. Values from VASP.

Structure (Quantum ESPRESSO input):
```
&SYSTEM
  ibrav = 0, nat = 12, ntyp = 3
/
ATOMIC_SPECIES
Zr 91.22 Zr.upf
W 183.84 W.upf
Se 78.96 Se.upf
CELL_PARAMETERS angstrom
6.1916 0.0000 0.0000
0.0000 6.1916 0.0000
0.0000 0.0000 6.1916
ATOMIC_POSITIONS crystal
Zr 0.0000 0.0000 0.0000
Zr 0.0000 0.5000 0.5000
Zr 0.5000 0.0000 0.5000
Zr 0.5000 0.5000 0.0000
W 0.0000 0.0000 0.5000
W 0.0000 0.5000 0.0000
W 0.5000 0.0000 0.0000
W 0.5000 0.5000 0.5000
Se 0.2500 0.2500 0.2500
Se 0.2500 0.7500 0.7500
Se 0.7500 0.2500 0.7500
Se 0.7500 0.7500 0.2500
```

Size of the total moment in Bohr magnetons per cell: 0.03

Which structure wins on stability? Q wins.

## P
This record from Alexandria describes crystalline ZrW3Se at its relaxed geometry. The functional is PBE. Values from VASP.

Structure (Quantum ESPRESSO input):
```
&SYSTEM
  ibrav = 0, nat = 5, ntyp = 3
/
ATOMIC_SPECIES
Zr 91.22 Zr.upf
W 183.84 W.upf
Se 78.96 Se.upf
CELL_PARAMETERS angstrom
4.8618 0.0000 0.0000
0.0000 4.8618 0.0000
0.0000 0.0000 4.8618
ATOMIC_POSITIONS crystal
Zr 0.0000 0.0000 0.0000
W 0.0000 0.0000 0.5000
W 0.0000 0.5000 0.0000
W 0.5000 0.0000 0.0000
Se 0.5000 0.5000 0.5000
```

Size of the total moment in Bohr magnetons per cell: 0.00

## Q
This record from Alexandria describes crystalline ZrW3Se at its relaxed geometry. The functional is PBE. Values from VASP.

Structure (Quantum ESPRESSO input):
```
&SYSTEM
  ibrav = 0, nat = 5, ntyp = 3
/
ATOMIC_SPECIES
Zr 91.22 Zr.upf
W 183.84 W.upf
Se 78.96 Se.upf
CELL_PARAMETERS angstrom
4.6232 0.0000 0.0000
0.0000 4.6232 0.0000
0.0000 0.0000 4.6232
ATOMIC_POSITIONS crystal
Zr 0.0000 0.0000 0.0000
W 0.0000 0.5000 0.5000
W 0.5000 0.0000 0.5000
W 0.5000 0.5000 0.0000
Se 0.5000 0.5000 0.5000
```

Size of the total moment in Bohr magnetons per cell: 0.00

Which structure wins on stability? Q wins.